! Na3GaS | Alexandria via LeMat-Bulk | PBE | relaxed; values from VASP
! symmetry	Pm-3m, No. 221
! E_tot	-1.944	eV per atom
&SYSTEM
  ibrav = 0, nat = 5, ntyp = 3
/
ATOMIC_SPECIES
Na 22.99 Na.upf
S 32.06 S.upf
Ga 69.72 Ga.upf
CELL_PARAMETERS angstrom
-4.793 -0.683 -2.494
0.050 -5.276 1.349
-2.586 1.164 4.649
ATOMIC_POSITIONS crystal
Na 0.000 0.500 0.000
Na 0.000 0.000 0.500
Na 0.500 0.000 0.000
S 0.500 0.500 0.500
Ga 0.000 0.000 0.000

! BaTc2Te | Alexandria via LeMat-Bulk | PBE | relaxed; values from VASP
! symmetry	R-3m, No. 166
! E_tot	-5.531	eV per atom
&SYSTEM
  ibrav = 0, nat = 4, ntyp = 3
/
ATOMIC_SPECIES
Ba 137.33 Ba.upf
Tc 98.00 Tc.upf
Te 127.60 Te.upf
CELL_PARAMETERS angstrom
8.988 -0.025 -0.015
8.333 3.368 -0.015
8.333 1.608 2.959
ATOMIC_POSITIONS crystal
Ba 0.250 0.250 0.250
Tc 0.015 0.015 0.015
Tc 0.485 0.485 0.485
Te 0.750 0.750 0.750

! TlCoPb | Alexandria via LeMat-Bulk | PBE | relaxed; values from VASP
! energy relative to the lowest polymorph listed for this composition	0.058	eV/atom
! symmetry	P3m1, No. 156
! calculated formation energy	458	meV per atom
&SYSTEM
  ibrav = 0, nat = 3, ntyp = 3
/
ATOMIC_SPECIES
Co 58.93 Co.upf
Pb 207.20 Pb.upf
Tl 204.38 Tl.upf
CELL_PARAMETERS angstrom
3.452 0.000 0.000
-1.726 2.990 0.000
0.000 0.000 6.592
ATOMIC_POSITIONS crystal
Co 0.000 0.000 0.002
Pb 0.667 0.333 0.280
Tl 0.333 0.667 0.718

! CsRbF3 | Alexandria via LeMat-Bulk | PBE | relaxed; values from VASP
! symmetry	Cm, No. 8
! E_tot	-3.644	eV per atom
&SYSTEM
  ibrav = 0, nat = 5, ntyp = 3
/
ATOMIC_SPECIES
Cs 132.91 Cs.upf
Rb 85.47 Rb.upf
F 19.00 F.upf
CELL_PARAMETERS angstrom
2.352 3.637 -0.440
-2.352 3.637 -0.440
0.000 -0.731 7.306
ATOMIC_POSITIONS crystal
Cs 0.706 0.706 0.277
Rb 0.284 0.284 0.826
F 0.999 0.999 0.046
F 0.708 0.287 0.569
F 0.287 0.708 0.569

! Ce2PaSi2 | Alexandria via LeMat-Bulk | PBE | relaxed; values from VASP
! energy relative to the lowest polymorph listed for this composition	0.189	eV/atom
! symmetry	P2_1/m, No. 11
&SYSTEM
  ibrav = 0, nat = 10, ntyp = 3
/
ATOMIC_SPECIES
Ce 140.12 Ce.upf
Pa 231.04 Pa.upf
Si 28.09 Si.upf
CELL_PARAMETERS angstrom
-0.539 0.648 -3.698
4.560 -3.273 -1.238
-10.567 -6.297 0.438
ATOMIC_POSITIONS crystal
Ce 0.250 0.760 0.857
Ce 0.750 0.240 0.143
Ce 0.250 0.319 0.576
Ce 0.750 0.681 0.424
Pa 0.250 0.824 0.216
Pa 0.750 0.176 0.784
Si 0.250 0.859 0.621
Si 0.750 0.141 0.379
Si 0.250 0.353 0.982
Si 0.750 0.647 0.018

! Na2In3Hg6 | Alexandria via LeMat-Bulk | PBE | relaxed; values from VASP
! energy relative to the lowest polymorph listed for this composition	0.000	eV/atom
! symmetry	Cmmm, No. 65
! calculated formation energy	-93	meV per atom
&SYSTEM
  ibrav = 0, nat = 11, ntyp = 3
/
ATOMIC_SPECIES
Na 22.99 Na.upf
In 114.82 In.upf
Hg 200.59 Hg.upf
CELL_PARAMETERS angstrom
-3.029 -0.888 1.892
5.297 -3.736 6.727
2.470 5.962 6.754
ATOMIC_POSITIONS crystal
Na 0.000 0.289 0.711
Na 0.000 0.711 0.289
In 0.000 0.244 0.244
In 0.000 0.756 0.756
In 0.500 0.000 0.000
Hg 0.500 0.403 0.403
Hg 0.500 0.597 0.597
Hg 0.500 0.947 0.360
Hg 0.500 0.053 0.640
Hg 0.500 0.360 0.947
Hg 0.500 0.640 0.053

! PmGdScTl | Alexandria via LeMat-Bulk | PBE | relaxed; values from VASP
! symmetry	F-43m, No. 216
! calculated formation energy	-88	meV per atom
&SYSTEM
  ibrav = 0, nat = 4, ntyp = 4
/
ATOMIC_SPECIES
Sc 44.96 Sc.upf
Tl 204.38 Tl.upf
Gd 157.25 Gd.upf
Pm 145.00 Pm.upf
CELL_PARAMETERS angstrom
-5.266 -1.242 0.471
-3.015 -0.779 -4.450
-1.737 -4.988 -1.264
ATOMIC_POSITIONS crystal
Sc 0.000 0.000 0.000
Tl 0.500 0.500 0.500
Gd 0.750 0.750 0.750
Pm 0.250 0.250 0.250

! In2CuSi | Alexandria via LeMat-Bulk | PBE | relaxed; values from VASP
! symmetry	R-3m, No. 166
! E_tot	-3.455	eV per atom
&SYSTEM
  ibrav = 0, nat = 4, ntyp = 3
/
ATOMIC_SPECIES
Cu 63.55 Cu.upf
In 114.82 In.upf
Si 28.09 Si.upf
CELL_PARAMETERS angstrom
8.418 -0.014 -0.008
7.748 3.291 -0.008
7.748 1.571 2.892
ATOMIC_POSITIONS crystal
Cu 0.250 0.250 0.250
In 0.995 0.995 0.995
In 0.505 0.505 0.505
Si 0.750 0.750 0.750

! TbPr2NdMg | Alexandria via LeMat-Bulk | PBE | relaxed; values from VASP
! symmetry	Pmma, No. 51
! calculated formation energy	147	meV per atom
&SYSTEM
  ibrav = 0, nat = 10, ntyp = 4
/
ATOMIC_SPECIES
Tb 158.93 Tb.upf
Pr 140.91 Pr.upf
Nd 144.24 Nd.upf
Mg 24.30 Mg.upf
CELL_PARAMETERS angstrom
-5.082 -5.284 -1.490
5.065 -3.770 -3.904
1.628 -2.971 4.981
ATOMIC_POSITIONS crystal
Tb 0.632 0.000 0.250
Tb 0.368 0.000 0.750
Pr 0.687 0.719 0.750
Pr 0.687 0.281 0.750
Pr 0.313 0.719 0.250
Pr 0.313 0.281 0.250
Nd 0.155 0.500 0.750
Nd 0.845 0.500 0.250
Mg 0.000 0.000 0.000
Mg 0.000 0.000 0.500

! TiReTe2 | Alexandria via LeMat-Bulk | PBE | relaxed; values from VASP
! energy relative to the lowest polymorph listed for this composition	0.000	eV/atom
! symmetry	Fm-3m, No. 225
&SYSTEM
  ibrav = 0, nat = 4, ntyp = 3
/
ATOMIC_SPECIES
Re 186.21 Re.upf
Te 127.60 Te.upf
Ti 47.87 Ti.upf
CELL_PARAMETERS angstrom
0.000 3.358 3.358
3.358 0.000 3.358
3.358 3.358 0.000
ATOMIC_POSITIONS crystal
Re 0.500 0.500 0.500
Te 0.250 0.250 0.250
Te 0.750 0.750 0.750
Ti 0.000 0.000 0.000

! Cd2Br | Alexandria via LeMat-Bulk | PBE | relaxed; values from VASP
! energy relative to the lowest polymorph listed for this composition	0.004	eV/atom
! symmetry	C2/m, No. 12
&SYSTEM
  ibrav = 0, nat = 6, ntyp = 2
/
ATOMIC_SPECIES
Cd 112.41 Cd.upf
Br 79.90 Br.upf
CELL_PARAMETERS angstrom
1.807 6.334 -0.268
-1.807 6.334 -0.268
0.000 2.885 7.518
ATOMIC_POSITIONS crystal
Cd 0.195 0.195 0.653
Cd 0.805 0.805 0.347
Cd 0.194 0.194 0.153
Cd 0.806 0.806 0.847
Br 0.500 0.500 0.750
Br 0.500 0.500 0.250

! AlCuAs2 | Alexandria via LeMat-Bulk | PBE | relaxed; values from VASP
! symmetry	P4mm, No. 99
! calculated formation energy	151	meV per atom
&SYSTEM
  ibrav = 0, nat = 4, ntyp = 3
/
ATOMIC_SPECIES
As 74.92 As.upf
Al 26.98 Al.upf
Cu 63.55 Cu.upf
CELL_PARAMETERS angstrom
-2.280 -1.485 -0.551
1.135 -2.205 1.247
-3.634 2.629 7.955
ATOMIC_POSITIONS crystal
As 0.000 0.000 0.950
As 0.500 0.500 0.314
Al 0.500 0.500 0.713
Cu 0.000 0.000 0.524

What did the sixth record say?
! Na2In3Hg6 | Alexandria via LeMat-Bulk | PBE | relaxed; values from VASP
! energy relative to the lowest polymorph listed for this composition	0.000	eV/atom
! symmetry	Cmmm, No. 65
! calculated formation energy	-93	meV per atom
&SYSTEM
  ibrav = 0, nat = 11, ntyp = 3
/
ATOMIC_SPECIES
Na 22.99 Na.upf
In 114.82 In.upf
Hg 200.59 Hg.upf
CELL_PARAMETERS angstrom
-3.029 -0.888 1.892
5.297 -3.736 6.727
2.470 5.962 6.754
ATOMIC_POSITIONS crystal
Na 0.000 0.289 0.711
Na 0.000 0.711 0.289
In 0.000 0.244 0.244
In 0.000 0.756 0.756
In 0.500 0.000 0.000
Hg 0.500 0.403 0.403
Hg 0.500 0.597 0.597
Hg 0.500 0.947 0.360
Hg 0.500 0.053 0.640
Hg 0.500 0.360 0.947
Hg 0.500 0.640 0.053